1.
## CrMo2OsS (PBE)

Data for CrMo2OsS after structural relaxation.

* ΔE_f (raw): 1.939 eV per atom
* space group: No. 123
* density of states at the Fermi level: 9.03 states/eV/f.u.

a b c (Å): 4.817 4.296 4.817
angles (deg): 90.00 90.00 90.00
Each line ends with the local moment (μB).
Sites, in units of the cell vectors:
Cr 0.500 0.500 0.500  0.02
Mo 0.000 0.000 0.500  0.12
Mo 0.500 0.000 0.000  0.14
Os 0.000 0.000 0.000  -0.01
S 0.000 0.500 0.000  -0.02

2.
## CrMoOsS2 (PBE)

Data for CrMoOsS2 after structural relaxation.

* ΔE_f (raw): 1.142 eV per atom
* space group: No. 123
* density of states at the Fermi level: 5.60 states/eV/f.u.

a b c (Å): 4.344 4.580 4.344
angles (deg): 90.00 90.00 90.00
Each line ends with the local moment (μB).
Sites, in units of the cell vectors:
Cr 0.000 0.000 0.000  0.70
Mo 0.500 0.500 0.500  2.66
Os 0.000 0.500 0.000  -0.55
S 0.000 0.000 0.500  -0.10
S 0.500 0.000 0.000  -0.11

3.
## CrSbMoOs2 (PBE)

Data for CrSbMoOs2 after structural relaxation.

* ΔE_f (raw): 1.378 eV per atom
* space group: No. 123
* density of states at the Fermi level: 4.82 states/eV/f.u.

a b c (Å): 4.515 4.522 4.515
angles (deg): 90.00 90.00 90.00
Each line ends with the local moment (μB).
Sites, in units of the cell vectors:
Sb 0.500 0.500 0.500  0.00
Mo 0.000 0.500 0.000  0.06
Os 0.000 0.000 0.500  0.00
Os 0.500 0.000 0.000  0.01
Cr 0.000 0.000 0.000  -0.03

4.
## TaCrMoOs (PBE)

Data for TaCrMoOs after structural relaxation.

* space group: No. 216
* density of states at the Fermi level: 3.83 states/eV/f.u.
* formation enthalpy at 0 K: -46 meV/atom

a b c (Å): 4.406 4.406 4.406
angles (deg): 60.00 60.00 60.00
Each line ends with the local moment (μB).
Sites, in units of the cell vectors:
Cr 0.250 0.250 0.250  1.17
Mo 0.500 0.500 0.500  -0.31
Os 0.000 0.000 0.000  -0.03
Ta 0.750 0.750 0.750  0.01

5.
## CrTcMoOs (PBE)

Data for CrTcMoOs after structural relaxation.

* space group: No. 216
* density of states at the Fermi level: 5.58 states/eV/f.u.
* formation enthalpy at 0 K: 156 meV/atom

a b c (Å): 4.349 4.349 4.349
angles (deg): 60.00 60.00 60.00
Each line ends with the local moment (μB).
Sites, in units of the cell vectors:
Cr 0.500 0.500 0.500  2.22
Mo 0.000 0.000 0.000  0.23
Os 0.250 0.250 0.250  0.06
Tc 0.750 0.750 0.750  -0.11

6.
## TiCrMoOs (PBE)

Data for TiCrMoOs after structural relaxation.

* space group: No. 216
* density of states at the Fermi level: 3.22 states/eV/f.u.
* formation enthalpy at 0 K: -222 meV/atom

a b c (Å): 4.337 4.337 4.337
angles (deg): 60.00 60.00 60.00
Sites, in units of the cell vectors:
Cr 0.000 0.000 0.000
Mo 0.750 0.750 0.750
Os 0.500 0.500 0.500
Ti 0.250 0.250 0.250

7.
## ZrCrMoOs (PBE)

Data for ZrCrMoOs after structural relaxation.

* space group: No. 216
* density of states at the Fermi level: 2.00 states/eV/f.u.
* formation enthalpy at 0 K: -42 meV/atom

a b c (Å): 4.471 4.471 4.471
angles (deg): 60.00 60.00 60.00
Sites, in units of the cell vectors:
Cr 0.250 0.250 0.250
Mo 0.000 0.000 0.000
Os 0.750 0.750 0.750
Zr 0.500 0.500 0.500

8.
## CrMo2P (PBE)

Data for CrMo2P after structural relaxation.

* space group: No. 65
* density of states at the Fermi level: 4.25 states/eV/f.u.
* formation enthalpy at 0 K: -6 meV/atom

a b c (Å): 4.239 4.239 3.066
angles (deg): 90.00 90.00 95.32
Each line ends with the local moment (μB).
Sites, in units of the cell vectors:
Cr 0.000 0.500 0.500  1.01
Mo 0.000 0.000 0.000  -0.20
Mo 0.500 0.500 0.000  -0.20
P 0.500 0.000 0.500  0.02